SrF | GGA-PBE | optimized geometry

Cell: 6.9229 7.0928 8.5848 Å, 90.00 90.00 90.00°
Space group P2_12_12_1 (No. 19)
One atom of each set of equivalent atoms:
1 Sr 0.2242 0.0242 0.0012 [4 per cell]
2 Sr 0.2365 0.5349 0.2284 [4 per cell]
3 F 0.0938 0.9103 0.2557 [4 per cell]
4 F 0.1428 0.6393 0.4951 [4 per cell]

Computed properties:
- total magnetization (μB/cell) = 0.00
- E_form (uncorrected) (eV/atom) = -2.79
- volume (A^3/atom) = 26.35
- distance to the lowest polymorph of the same formula (kJ/mol of formula units) = 23

SrF4 | GGA-PBE | optimized geometry

Cell: 7.6271 4.5540 4.7157 Å, 90.00 120.53 90.00°
Space group C2/m (No. 12)
One atom of each set of equivalent atoms:
1 Sr 0.0000 0.0000 0.0000 [2 per cell]
2 F 0.1230 0.5000 0.8722 [4 per cell]
3 F 0.2057 0.0000 0.6461 [4 per cell]

Computed properties:
- total magnetization (μB/cell) = 4.00
- E_form (uncorrected) (eV/atom) = -2.21
- volume (A^3/atom) = 14.11
- distance to the lowest polymorph of the same formula (kJ/mol of formula units) = 0

SrF | GGA-PBE | optimized geometry

Cell: 7.7397 7.7397 7.7397 Å, 90.00 90.00 90.00°
Space group I-43m (No. 217)
One atom of each set of equivalent atoms:
1 Sr 0.1833 0.1833 0.8167 [8 per cell]
2 F 0.1345 0.1345 0.1345 [8 per cell]

Computed properties:
- total magnetization (μB/cell) = 0.00
- E_form (uncorrected) (eV/atom) = -2.84
- volume (A^3/atom) = 28.98
- distance to the lowest polymorph of the same formula (kJ/mol of formula units) = 14

SrF | GGA-PBE | optimized geometry

Cell: 10.5248 10.5248 4.2091 Å, 90.00 90.00 90.00°
Space group P4/m (No. 83)
One atom of each set of equivalent atoms:
1 Sr 0.0702 0.3020 0.0000 [4 per cell]
2 Sr 0.2462 0.5864 0.5000 [4 per cell]
3 F 0.1337 0.5334 0.0000 [4 per cell]
4 F 0.2025 0.3535 0.5000 [4 per cell]

Computed properties:
- total magnetization (μB/cell) = 0.81
- E_form (uncorrected) (eV/atom) = -2.75
- volume (A^3/atom) = 29.14
- distance to the lowest polymorph of the same formula (kJ/mol of formula units) = 31

SrF | GGA-PBE | optimized geometry

Cell: 10.2606 10.2606 4.2194 Å, 90.00 90.00 90.00°
Space group I4/m (No. 87)
One atom of each set of equivalent atoms:
1 Sr 0.0786 0.2718 0.0000 [8 per cell]
2 F 0.1638 0.7049 0.0000 [8 per cell]

Computed properties:
- total magnetization (μB/cell) = 0.00
- E_form (uncorrected) (eV/atom) = -2.79
- volume (A^3/atom) = 27.76
- distance to the lowest polymorph of the same formula (kJ/mol of formula units) = 25

SrF | GGA-PBE | optimized geometry

Cell: 4.2436 4.2436 6.7843 Å, 90.00 90.00 120.00°
Space group P6_3mc (No. 186)
One atom of each set of equivalent atoms:
1 Sr 0.3333 0.6667 0.0000 [2 per cell]
2 F 0.3333 0.6667 0.6097 [2 per cell]

Computed properties:
- total magnetization (μB/cell) = 0.99
- E_form (uncorrected) (eV/atom) = -2.65
- volume (A^3/atom) = 26.45
- distance to the lowest polymorph of the same formula (kJ/mol of formula units) = 51

SrF | GGA-PBE | optimized geometry

Cell: 8.2348 8.9084 11.7663 Å, 90.00 90.00 90.00°
Space group Fddd (No. 70, origin choice 2)
One atom of each set of equivalent atoms:
1 Sr 0.1250 0.3547 0.1250 [16 per cell]
2 F 0.1250 0.1250 0.2521 [16 per cell]

Computed properties:
- total magnetization (μB/cell) = 0.00
- E_form (uncorrected) (eV/atom) = -2.88
- volume (A^3/atom) = 26.97
- distance to the lowest polymorph of the same formula (kJ/mol of formula units) = 6

SrF | GGA-PBE | optimized geometry

Cell: 4.2099 12.5928 6.1079 Å, 90.00 90.00 90.00°
Space group Imm2 (No. 44)
One atom of each set of equivalent atoms:
1 Sr 0.0000 0.0000 0.0000 [2 per cell]
2 Sr 0.0000 0.3306 0.9488 [4 per cell]
3 F 0.0000 0.1723 0.2088 [4 per cell]
4 F 0.0000 0.5000 0.7236 [2 per cell]

Computed properties:
- total magnetization (μB/cell) = 0.03
- E_form (uncorrected) (eV/atom) = -2.85
- volume (A^3/atom) = 26.98
- distance to the lowest polymorph of the same formula (kJ/mol of formula units) = 12

SrF2 | GGA-PBE | optimized geometry

Cell: 6.3813 3.8454 7.4959 Å, 90.00 90.00 90.00°
Space group Pnma (No. 62)
One atom of each set of equivalent atoms:
1 Sr 0.2488 0.2500 0.1109 [4 per cell]
2 F 0.0217 0.7500 0.3353 [4 per cell]
3 F 0.1419 0.7500 0.9265 [4 per cell]

Computed properties:
- total magnetization (μB/cell) = 0.00
- E_form (uncorrected) (eV/atom) = -3.91
- volume (A^3/atom) = 15.33

SrF | GGA-PBE | optimized geometry

Cell: 7.3030 4.2184 7.1080 Å, 90.00 109.93 90.00°
Space group C2/m (No. 12)
One atom of each set of equivalent atoms:
1 Sr 0.0000 0.0000 0.0000 [2 per cell]
2 Sr 0.0000 0.5000 0.5000 [2 per cell]
3 F 0.1241 0.0000 0.3713 [4 per cell]

Computed properties:
- total magnetization (μB/cell) = 0.00
- E_form (uncorrected) (eV/atom) = -2.86
- volume (A^3/atom) = 25.73
- distance to the lowest polymorph of the same formula (kJ/mol of formula units) = 11

SrF | GGA-PBE | optimized geometry

Cell: 7.1371 7.1371 7.1371 Å, 90.00 90.00 90.00°
Space group Pm-3n (No. 223)
One atom of each set of equivalent atoms:
1 Sr 0.0000 0.2500 0.5000 [6 per cell]
2 F 0.0000 0.5000 0.2500 [6 per cell]

Computed properties:
- total magnetization (μB/cell) = 0.00
- E_form (uncorrected) (eV/atom) = -2.63
- volume (A^3/atom) = 30.30
- distance to the lowest polymorph of the same formula (kJ/mol of formula units) = 55

SrF | GGA-PBE | optimized geometry

Cell: 9.7527 9.7527 4.2238 Å, 90.00 90.00 120.00°
Space group P6_3/m (No. 176)
One atom of each set of equivalent atoms:
1 Sr 0.1201 0.7015 0.2500 [6 per cell]
2 F 0.0356 0.4062 0.2500 [6 per cell]

Computed properties:
- total magnetization (μB/cell) = 0.00
- E_form (uncorrected) (eV/atom) = -2.76
- volume (A^3/atom) = 28.99
- distance to the lowest polymorph of the same formula (kJ/mol of formula units) = 29

SrF | GGA-PBE | optimized geometry

Cell: 4.2483 12.3610 6.1072 Å, 90.00 90.00 90.00°
Space group Pmmn (No. 59, origin choice 2)
One atom of each set of equivalent atoms:
1 Sr 0.2500 0.0827 0.2197 [4 per cell]
2 Sr 0.2500 0.7500 0.2724 [2 per cell]
3 F 0.2500 0.2500 0.4406 [2 per cell]
4 F 0.2500 0.5920 0.9961 [4 per cell]

Computed properties:
- total magnetization (μB/cell) = 1.56
- E_form (uncorrected) (eV/atom) = -2.79
- volume (A^3/atom) = 26.73
- distance to the lowest polymorph of the same formula (kJ/mol of formula units) = 23

SrF | GGA-PBE | optimized geometry

Cell: 5.9629 5.9629 5.9629 Å, 90.00 90.00 90.00°
Space group F-43m (No. 216)
One atom of each set of equivalent atoms:
1 Sr 0.0000 0.0000 0.0000 [4 per cell]
2 F 0.2500 0.2500 0.2500 [4 per cell]

Computed properties:
- total magnetization (μB/cell) = 2.68
- E_form (uncorrected) (eV/atom) = -2.67
- volume (A^3/atom) = 26.50
- distance to the lowest polymorph of the same formula (kJ/mol of formula units) = 48

SrF4 | GGA-PBE | optimized geometry

Cell: 4.8375 4.8375 4.8375 Å, 90.00 90.00 90.00°
Space group Pm-3m (No. 221)
One atom of each set of equivalent atoms:
1 Sr 0.0000 0.0000 0.0000 [1 per cell]
2 F 0.0000 0.0000 0.5000 [3 per cell]
3 F 0.5000 0.5000 0.5000 [1 per cell]

Computed properties:
- total magnetization (μB/cell) = 2.00
- E_form (uncorrected) (eV/atom) = -1.95
- volume (A^3/atom) = 22.64
- distance to the lowest polymorph of the same formula (kJ/mol of formula units) = 125

SrF | GGA-PBE | optimized geometry

Cell: 4.4570 7.1561 6.5013 Å, 90.00 90.00 90.00°
Space group Ama2 (No. 40)
One atom of each set of equivalent atoms:
1 Sr 0.2500 0.2127 0.0000 [4 per cell]
2 F 0.2500 0.3777 0.6598 [4 per cell]

Computed properties:
- total magnetization (μB/cell) = 0.00
- E_form (uncorrected) (eV/atom) = -2.77
- volume (A^3/atom) = 25.92
- distance to the lowest polymorph of the same formula (kJ/mol of formula units) = 28

SrF | GGA-PBE | optimized geometry

Cell: 5.6391 5.6391 5.6391 Å, 90.00 90.00 90.00°
Space group Fm-3m (No. 225)
One atom of each set of equivalent atoms:
1 Sr 0.0000 0.0000 0.0000 [4 per cell]
2 F 0.0000 0.0000 0.5000 [4 per cell]

Computed properties:
- total magnetization (μB/cell) = 2.43
- E_form (uncorrected) (eV/atom) = -2.37
- volume (A^3/atom) = 22.41
- distance to the lowest polymorph of the same formula (kJ/mol of formula units) = 105

SrF5 | GGA-PBE | optimized geometry

Cell: 4.4574 8.4983 4.1520 Å, 90.00 90.00 90.00°
Space group Cmmm (No. 65)
One atom of each set of equivalent atoms:
1 Sr 0.0000 0.0000 0.0000 [2 per cell]
2 F 0.0000 0.1760 0.5000 [4 per cell]
3 F 0.0000 0.3494 0.0000 [4 per cell]
4 F 0.0000 0.5000 0.5000 [2 per cell]

Computed properties:
- total magnetization (μB/cell) = 6.00
- E_form (uncorrected) (eV/atom) = -1.66
- volume (A^3/atom) = 13.11
- distance to the lowest polymorph of the same formula (kJ/mol of formula units) = 110

SrF | GGA-PBE | optimized geometry

Cell: 4.2285 4.2291 6.1506 Å, 90.00 90.07 90.00°
Space group P2_1/m (No. 11)
One atom of each set of equivalent atoms:
1 Sr 0.2494 0.2500 0.2768 [2 per cell]
2 F 0.2500 0.7500 0.4999 [2 per cell]

Computed properties:
- total magnetization (μB/cell) = 0.00
- E_form (uncorrected) (eV/atom) = -2.91
- volume (A^3/atom) = 27.50
- distance to the lowest polymorph of the same formula (kJ/mol of formula units) = 0

SrF5 | GGA-PBE | optimized geometry

Cell: 3.9219 10.3048 5.4474 Å, 90.00 108.55 90.00°
Space group P2_1/m (No. 11)
One atom of each set of equivalent atoms:
1 Sr 0.0458 0.2500 0.2395 [2 per cell]
2 F 0.0921 0.5669 0.4800 [4 per cell]
3 F 0.3218 0.7500 0.4560 [2 per cell]
4 F 0.4408 0.1528 0.0068 [4 per cell]

Computed properties:
- total magnetization (μB/cell) = 2.06
- E_form (uncorrected) (eV/atom) = -1.85
- volume (A^3/atom) = 17.39
- distance to the lowest polymorph of the same formula (kJ/mol of formula units) = 0

SrF2 | GGA-PBE | optimized geometry

Cell: 4.1581 4.1581 5.9191 Å, 90.00 90.00 120.00°
Space group P6_3/mmc (No. 194)
One atom of each set of equivalent atoms:
1 Sr 0.3333 0.6667 0.2500 [2 per cell]
2 F 0.0000 0.0000 0.0000 [2 per cell]
3 F 0.3333 0.6667 0.7500 [2 per cell]

Computed properties:
- total magnetization (μB/cell) = 0.00
- E_form (uncorrected) (eV/atom) = -3.78
- volume (A^3/atom) = 14.77